First-principles (PBE) data for crystalline CdSb2W at its relaxed geometry, as listed in the Alexandria database.

The structure in CIF format:
```
data_CdSb2W
_chemical_formula_sum 'Cd2 Sb4 W2'
_cell_length_a 3.576
_cell_length_b 5.020
_cell_length_c 10.990
_cell_angle_alpha 90.00
_cell_angle_beta 90.00
_cell_angle_gamma 90.00
_symmetry_space_group_name_H-M 'C m m m'
_symmetry_Int_Tables_number 65
_symmetry_space_group_name_Hall '-C 2 2'
loop_
_atom_site_label
_atom_site_fract_x
_atom_site_fract_y
_atom_site_fract_z
_atom_site_occupancy
Cd1 0.000 0.000 0.000 1
Sb1 0.000 0.500 0.303 1
W1 0.000 0.000 0.500 1
```

Properties
energy relative to the elements, uncorrected: 1.86 eV/f.u.
total magnetic moment: 0.00 μB/cell
DFT total energy: -0.372 Ry/atom
crystal system: orthorhombic